A plane-wave DFT calculation with PBE with a Hubbard U was carried out for a geometry-optimized CrInO3 structure.

The total energy is -6.7459 eV per atom.

It has space group Pnma (No. 62), with a = 5.4489 Å, b = 7.7315 Å, c = 5.2508 Å, α = 90.00°, β = 90.00° and γ = 90.00°. The asymmetric unit holds Cr at (0.0000, 0.0000, 0.0000), In at (0.0599, 0.2500, 0.4780), O at (0.0608, 0.7500, 0.1271) and O at (0.1968, 0.5689, 0.6935).